Computed, not measured: a geometry-optimized NiHOF2 structure at the GGA+U level of DFT.

Values from the calculation:
total magnetization	0.571	μB/atom
energy above the lowest structure with this stoichiometry	0.000	eV per atom
uncorrected energy	-3.37	eV/atom

abc: 2.988 2.988 4.892
angles: 90.00 90.00 90.00
Space group P4/mmm (No. 123)
One atom of each set of equivalent atoms:
Ni  0.000  0.000  0.000 x1
H  0.500  0.500  0.500 x1
O  0.500  0.500  0.000 x1
F  0.000  0.500  0.500 x2